Record 1
A plane-wave DFT calculation with PBE was carried out for a geometry-optimized HfZrPd2 structure.

Lattice parameters (Å, degrees): 6.542 6.542 6.542 90.00 90.00 90.00
Space group F-43m (No. 216)
Unique sites:
Hf 0.000 0.000 0.000
Zr 0.250 0.250 0.750
Pd 0.000 0.000 0.500
Pd 0.250 0.250 0.250

VASP energy   -7.672 eV per atom
ΔH_f (0 K)   -459 meV/atom



Record 2
A plane-wave DFT calculation with PBE was carried out for a geometry-optimized YErAl2Ir4 structure.

Lattice parameters (Å, degrees): 4.2905 4.2905 9.1414 90.00 90.00 120.00
Space group P-6m2 (No. 187)
Unique sites:
Y 0.0000 0.0000 0.0000
Er 0.6667 0.3333 0.5000
Al 0.3333 0.6667 0.2547
Ir 0.0000 0.0000 0.3423
Ir 0.6667 0.3333 0.1730

VASP energy   -7.455 eV per atom



Record 3
A plane-wave DFT calculation with PBE was carried out for a geometry-optimized LiAlSnPt structure.

Lattice parameters (Å, degrees): 6.415 6.415 6.415 90.00 90.00 90.00
Space group F-43m (No. 216)
Unique sites:
Li 0.000 0.000 0.000
Al 0.250 0.250 0.250
Sn 0.250 0.250 0.750
Pt 0.000 0.000 0.500

VASP energy   -4.450 eV per atom



Record 4
A plane-wave DFT calculation with PBE was carried out for a geometry-optimized Tb2Os structure.

Lattice parameters (Å, degrees): 11.797 11.797 11.797 90.00 90.00 90.00
Space group Fd-3m (No. 227, origin choice 2)
Unique sites:
Tb 0.000 0.000 0.000
Os 0.125 0.125 0.125

VASP energy   -5.659 eV per atom
ΔH_f (0 K)   1169 meV/atom



Record 5
A plane-wave DFT calculation with PBE was carried out for a geometry-optimized LuTcB structure.

Lattice parameters (Å, degrees): 6.006 6.006 6.006 90.00 90.00 90.00
Space group F-43m (No. 216)
Unique sites:
Lu 0.000 0.000 0.000
Tc 0.250 0.250 0.250
B 0.250 0.250 0.750

VASP energy   -5.618 eV per atom



Record 6
A plane-wave DFT calculation with PBE was carried out for a geometry-optimized KSn2Hg2 structure.

Lattice parameters (Å, degrees): 4.832 4.832 13.250 90.00 90.00 90.00
Space group I4/mmm (No. 139)
Unique sites:
K 0.000 0.000 0.000
Sn 0.000 0.500 0.250
Hg 0.000 0.000 0.393

VASP energy   -2.096 eV per atom



Record 7
A plane-wave DFT calculation with PBE was carried out for a geometry-optimized RbHoTeO structure.

Lattice parameters (Å, degrees): 9.173 7.421 6.658 90.00 97.57 90.00
Space group P2_1/c (No. 14)
Unique sites:
Rb 0.129 0.101 0.345
Ho 0.491 0.635 0.791
Te 0.252 0.579 0.385
O 0.432 0.142 0.388

VASP energy   -5.535 eV per atom



Record 8
A plane-wave DFT calculation with PBE was carried out for a geometry-optimized SmTm2ZnIn2 structure.

Lattice parameters (Å, degrees): 5.2229 5.2229 6.4184 90.00 90.00 120.00
Space group P-3m1 (No. 164)
Unique sites:
Sm 0.0000 0.0000 0.0000
Tm 0.3333 0.6667 0.3462
Zn 0.0000 0.0000 0.5000
In 0.3333 0.6667 0.8259

VASP energy   -3.810 eV per atom



Record 9
A plane-wave DFT calculation with PBE was carried out for a geometry-optimized MgSnHgPt structure.

Lattice parameters (Å, degrees): 6.861 6.861 6.861 90.00 90.00 90.00
Space group F-43m (No. 216)
Unique sites:
Mg 0.000 0.000 0.000
Sn 0.000 0.000 0.500
Hg 0.250 0.250 0.750
Pt 0.250 0.250 0.250

VASP energy   -3.212 eV per atom



Record 10
A plane-wave DFT calculation with PBE was carried out for a geometry-optimized TaNiAgGe structure.

Lattice parameters (Å, degrees): 6.290 6.290 6.290 90.00 90.00 90.00
Space group F-43m (No. 216)
Unique sites:
Ta 0.000 0.000 0.000
Ni 0.000 0.000 0.500
Ag 0.250 0.250 0.750
Ge 0.250 0.250 0.250

VASP energy   -6.002 eV per atom



Record 11
A plane-wave DFT calculation with PBE was carried out for a geometry-optimized Re2Sb2W3 structure.

Lattice parameters (Å, degrees): 4.5374 4.5374 21.4658 90.00 90.00 120.00
Space group R3m (No. 160, hexagonal axes)
Unique sites:
Re 0.0000 0.0000 0.0000
Re 0.0000 0.0000 0.4782
Sb 0.0000 0.0000 0.1883
Sb 0.0000 0.0000 0.7529
W 0.0000 0.0000 0.3588
W 0.0000 0.0000 0.6213
W 0.0000 0.0000 0.8866

VASP energy   -9.650 eV per atom



Record 12
A plane-wave DFT calculation with PBE was carried out for a geometry-optimized NbCdCo2 structure.

Lattice parameters (Å, degrees): 6.211 6.211 6.211 90.00 90.00 90.00
Space group F-43m (No. 216)
Unique sites:
Nb 0.000 0.000 0.000
Cd 0.250 0.250 0.250
Co 0.000 0.000 0.500
Co 0.250 0.250 0.750

VASP energy   -5.873 eV per atom
ΔH_f (0 K)   428 meV/atom